1.
Here is an optimized crystal structure of Y5SeS4 from Alexandria. Energies are from PBE-GGA.

```
data_Y5SeS4
_chemical_formula_sum 'Y5 Se1 S4'
_cell_length_a 6.864
_cell_length_b 6.864
_cell_length_c 9.686
_cell_angle_alpha 118.32
_cell_angle_beta 118.32
_cell_angle_gamma 33.42
_space_group_name_H-M_alt 'P 1'
_space_group_IT_number 1
_space_group_name_Hall 'P 1'
loop_
_atom_site_label
_atom_site_fract_x
_atom_site_fract_y
_atom_site_fract_z
Y1 0.000 0.000 0.000
Y2 0.206 0.206 0.809
Y3 0.392 0.392 0.606
Y4 0.608 0.608 0.394
Y5 0.794 0.794 0.191
Se1 0.000 0.000 0.500
S1 0.203 0.203 0.297
S2 0.403 0.403 0.104
S3 0.597 0.597 0.896
S4 0.797 0.797 0.703
```

Values from the calculation:
Energy relative to the elements, uncorrected in eV/atom: -1.949
Total energy in eV for the cell shown: -71.8
M_tot in Bohr magnetons per cell: 0.00

=====

2.
Here is an optimized crystal structure of YSe2S from Alexandria. Energies are from PBE-GGA.

```
data_YSe2S
_chemical_formula_sum 'Y4 Se8 S4'
_cell_length_a 3.869
_cell_length_b 3.869
_cell_length_c 24.883
_cell_angle_alpha 90.00
_cell_angle_beta 90.00
_cell_angle_gamma 90.00
_space_group_name_H-M_alt 'P 1'
_space_group_IT_number 1
_space_group_name_Hall 'P 1'
loop_
_atom_site_label
_atom_site_fract_x
_atom_site_fract_y
_atom_site_fract_z
Y1 0.000 0.000 0.000
Y2 0.000 0.500 0.250
Y3 0.500 0.000 0.750
Y4 0.500 0.500 0.500
Se1 0.241 0.250 0.125
Se2 0.250 0.741 0.375
Se3 0.250 0.759 0.875
Se4 0.259 0.250 0.625
Se5 0.741 0.750 0.625
Se6 0.750 0.241 0.875
Se7 0.750 0.259 0.375
Se8 0.759 0.750 0.125
S1 0.000 0.000 0.500
S2 0.000 0.500 0.750
S3 0.500 0.000 0.250
S4 0.500 0.500 0.000
```

Values from the calculation:
Energy relative to the elements, uncorrected in eV/atom: -0.969
Total energy in eV for the cell shown: -85.7
M_tot in Bohr magnetons per cell: 0.00

=====

3.
Here is an optimized crystal structure of Y6Se3S2 from Alexandria. Energies are from PBE-GGA.

```
data_Y6Se3S2
_chemical_formula_sum 'Y6 Se3 S2'
_cell_length_a 19.801
_cell_length_b 19.801
_cell_length_c 19.801
_cell_angle_alpha 11.49
_cell_angle_beta 11.49
_cell_angle_gamma 11.49
_space_group_name_H-M_alt 'P 1'
_space_group_IT_number 1
_space_group_name_Hall 'P 1'
loop_
_atom_site_label
_atom_site_fract_x
_atom_site_fract_y
_atom_site_fract_z
Y1 0.090 0.090 0.090
Y2 0.191 0.191 0.191
Y3 0.362 0.362 0.362
Y4 0.638 0.638 0.638
Y5 0.809 0.809 0.809
Y6 0.910 0.910 0.910
Se1 0.000 0.000 0.000
Se2 0.274 0.274 0.274
Se3 0.726 0.726 0.726
S1 0.449 0.449 0.449
S2 0.551 0.551 0.551
```

Values from the calculation:
Energy relative to the elements, uncorrected in eV/atom: -1.688
Total energy in eV for the cell shown: -76.1
M_tot in Bohr magnetons per cell: 0.00

=====

4.
Here is an optimized crystal structure of Y6SeS5 from Alexandria. Energies are from PBE-GGA.

```
data_Y6SeS5
_chemical_formula_sum 'Y6 Se1 S5'
_cell_length_a 6.846
_cell_length_b 6.846
_cell_length_c 6.839
_cell_angle_alpha 99.60
_cell_angle_beta 99.60
_cell_angle_gamma 120.13
_space_group_name_H-M_alt 'P 1'
_space_group_IT_number 1
_space_group_name_Hall 'P 1'
loop_
_atom_site_label
_atom_site_fract_x
_atom_site_fract_y
_atom_site_fract_z
Y1 0.070 0.413 0.236
Y2 0.244 0.244 0.761
Y3 0.413 0.070 0.236
Y4 0.587 0.930 0.764
Y5 0.756 0.756 0.239
Y6 0.930 0.587 0.764
Se1 0.500 0.500 0.500
S1 0.000 0.000 0.000
S2 0.167 0.833 0.500
S3 0.338 0.662 0.000
S4 0.662 0.338 0.000
S5 0.833 0.167 0.500
```

Values from the calculation:
Energy relative to the elements, uncorrected in eV/atom: -1.959
Total energy in eV for the cell shown: -86.4
M_tot in Bohr magnetons per cell: 0.00

=====

5.
Here is an optimized crystal structure of Y8SeS3 from Alexandria. Energies are from PBE-GGA.

```
data_Y8SeS3
_chemical_formula_sum 'Y8 Se1 S3'
_cell_length_a 7.660
_cell_length_b 7.660
_cell_length_c 7.660
_cell_angle_alpha 60.17
_cell_angle_beta 60.17
_cell_angle_gamma 60.17
_space_group_name_H-M_alt 'P 1'
_space_group_IT_number 1
_space_group_name_Hall 'P 1'
loop_
_atom_site_label
_atom_site_fract_x
_atom_site_fract_y
_atom_site_fract_z
Y1 0.248 0.248 0.248
Y2 0.257 0.741 0.741
Y3 0.259 0.259 0.743
Y4 0.259 0.743 0.259
Y5 0.741 0.257 0.741
Y6 0.741 0.741 0.257
Y7 0.743 0.259 0.259
Y8 0.752 0.752 0.752
Se1 0.000 0.000 0.000
S1 0.000 0.500 0.500
S2 0.500 0.000 0.500
S3 0.500 0.500 0.000
```

Values from the calculation:
Energy relative to the elements, uncorrected in eV/atom: -1.259
Total energy in eV for the cell shown: -82.7
M_tot in Bohr magnetons per cell: 0.00

=====

6.
Here is an optimized crystal structure of YSe2S2 from Alexandria. Energies are from PBE-GGA.

```
data_YSe2S2
_chemical_formula_sum 'Y2 Se4 S4'
_cell_length_a 7.537
_cell_length_b 7.537
_cell_length_c 4.400
_cell_angle_alpha 90.00
_cell_angle_beta 90.00
_cell_angle_gamma 90.00
_space_group_name_H-M_alt 'P 1'
_space_group_IT_number 1
_space_group_name_Hall 'P 1'
loop_
_atom_site_label
_atom_site_fract_x
_atom_site_fract_y
_atom_site_fract_z
Y1 0.000 0.000 0.000
Y2 0.500 0.500 0.000
Se1 0.160 0.340 0.000
Se2 0.340 0.840 0.000
Se3 0.660 0.160 0.000
Se4 0.840 0.660 0.000
S1 0.245 0.745 0.500
S2 0.255 0.245 0.500
S3 0.745 0.755 0.500
S4 0.755 0.255 0.500
```

Values from the calculation:
Energy above the most stable polymorph in this dataset in meV/atom: 111.5
Energy relative to the elements, uncorrected in eV/atom: -0.556
Total energy in eV for the cell shown: -48.9
M_tot in Bohr magnetons per cell: 0.00